This record from the Alexandria database describes an optimized crystal structure of ScAuF3. The functional is PBE.

Calculated values
E_form (uncorrected): -1.0154 eV per atom
Excess energy over the best structure of this formula in the dataset: 1488 meV per atom
Theoretical density: 5.427 Mg/m³
Crystal system: cubic
DFT total energy: -4.060 eV per atom

Unit cell a=4.5054 b=4.5054 c=4.5054 alpha=90.00 beta=90.00 gamma=90.00
Closest atoms and distances in Å follow each position.
Positions (direct):
Sc (0.0000, 0.0000, 0.0000)  12 F 3.19
Au (0.5000, 0.5000, 0.5000)  6 F 2.25
F (0.0000, 0.5000, 0.5000)  2 Au 2.25
F (0.5000, 0.0000, 0.5000)  2 Au 2.25
F (0.5000, 0.5000, 0.0000)  2 Au 2.25